TlTePb2 | GGA-PBE | relaxed

Cell lengths 5.463, 5.463, 4.194 Å; angles 90.00, 90.00, 90.00 degrees
Element x y z (fractional)
Pb 0.000 0.000 0.000
Pb 0.500 0.500 0.000
Te 0.500 0.000 0.500
Tl 0.000 0.500 0.500

Results
Energy relative to the elements, uncorrected = -0.0895 eV per atom
Density of states at the Fermi level = 1.43 states/eV per cell